[1]
Ce2PmNpN4 | PBE-GGA | optimized geometry

Unit cell a=5.0228 b=5.0228 c=10.0309 alpha=90.00 beta=90.00 gamma=90.00
Space group I-4m2 (No. 119)
One atom of each set of equivalent atoms:
Ce 0.0000 0.0000 0.0000 x2
Ce 0.0000 0.5000 0.2500 x2
Pm 0.0000 0.5000 0.7500 x2
Np 0.0000 0.0000 0.5000 x2
N 0.0000 0.0000 0.2640 x4
N 0.0000 0.5000 0.0039 x4

Formation energy without anion corrections: -1373 meV/atom

[2]
Ce3Pm2NpN6 | PBE-GGA | optimized geometry

Unit cell a=6.1680 b=10.6685 c=6.1625 alpha=90.00 beta=109.52 gamma=90.00
Space group C2/m (No. 12)
One atom of each set of equivalent atoms:
Ce 0.0000 0.0000 0.0000 x2
Ce 0.0000 0.3329 0.0000 x4
Pm 0.0000 0.1664 0.5000 x4
Np 0.0000 0.5000 0.5000 x2
N 0.2288 0.5000 0.2525 x4
N 0.2358 0.3454 0.7434 x8

Formation energy without anion corrections: -1419 meV/atom

[3]
CePm3Np2N6 | PBE-GGA | optimized geometry

Unit cell a=6.1219 b=10.5975 c=6.1523 alpha=90.00 beta=109.37 gamma=90.00
Space group C2/m (No. 12)
One atom of each set of equivalent atoms:
Ce 0.0000 0.0000 0.0000 x2
Pm 0.0000 0.1652 0.5000 x4
Pm 0.0000 0.5000 0.5000 x2
Np 0.0000 0.3331 0.0000 x4
N 0.2267 0.5000 0.2237 x4
N 0.2495 0.1738 0.2261 x8

Formation energy without anion corrections: -1358 meV/atom

[4]
Ce3Pr2NpN6 | PBE-GGA | optimized geometry

Unit cell a=6.2194 b=10.7553 c=6.1914 alpha=90.00 beta=109.61 gamma=90.00
Space group C2/m (No. 12)
One atom of each set of equivalent atoms:
Ce 0.0000 0.0000 0.0000 x2
Ce 0.0000 0.3338 0.0000 x4
Pr 0.0000 0.1665 0.5000 x4
Np 0.0000 0.5000 0.5000 x2
N 0.2229 0.5000 0.2466 x4
N 0.2340 0.3485 0.7473 x8

Formation energy without anion corrections: -1369 meV/atom

[5]
Ce3Pr4NpN8 | PBE-GGA | optimized geometry

Unit cell a=7.1925 b=7.1925 c=17.6928 alpha=90.00 beta=90.00 gamma=120.00
Space group R-3m (No. 166, hexagonal axes)
One atom of each set of equivalent atoms:
Ce 0.0000 0.5000 0.0000 x9
Pr 0.0000 0.0000 0.5000 x3
Pr 0.0000 0.5000 0.5000 x9
Np 0.0000 0.0000 0.0000 x3
N 0.0000 0.0000 0.2574 x6
N 0.0156 0.5078 0.7403 x18

Formation energy without anion corrections: -1373 meV/atom

[6]
CePr2NpN4 | PBE-GGA | optimized geometry

Unit cell a=6.1907 b=3.5758 c=6.2238 alpha=90.00 beta=109.04 gamma=90.00
Space group P2/m (No. 10)
One atom of each set of equivalent atoms:
Ce 0.0000 0.0000 0.0000 x1
Pr 0.0000 0.5000 0.5000 x1
Pr 0.5000 0.0000 0.5000 x1
Np 0.5000 0.5000 0.0000 x1
N 0.2565 0.5000 0.2195 x2
N 0.2727 0.0000 0.7838 x2

Formation energy without anion corrections: -1319 meV/atom